(1)
Computed, not measured: a relaxed KBPb crystal at the PBE level of DFT.

The structure in CIF format:
```
data_KBPb
_chemical_formula_sum 'K4 B4 Pb4'
_space_group_name_H-M_alt 'A m m 2'
_space_group_IT_number 38
_cell_length_a 5.7569
_cell_length_b 4.4635
_cell_length_c 13.0000
_cell_angle_alpha 90.00
_cell_angle_beta 90.00
_cell_angle_gamma 90.00
loop_
_space_group_symop_operation_xyz
'x,y,z'
'-x,-y,z'
'-x,y,z'
'x,-y,z'
'x,y+1/2,z+1/2'
'-x,-y+1/2,z+1/2'
'-x,y+1/2,z+1/2'
'x,-y+1/2,z+1/2'
loop_
_atom_site_label
_atom_site_type_symbol
_atom_site_fract_x
_atom_site_fract_y
_atom_site_fract_z
K1 K 0.0000 0.0000 0.0000
K2 K 0.5000 0.0000 0.4817
B1 B 0.1361 0.0000 0.6644
Pb1 Pb 0.0000 0.0000 0.2728
Pb2 Pb 0.5000 0.0000 0.7574
```

Properties
* ρ: 5.1 g/cm³
* polymorph energy (0 for the lowest one): 293.0 meV/atom
* calculated formation energy: 0.431 eV per atom

(2)
Computed, not measured: a relaxed Rb2YPtF6 crystal at the PBE level of DFT.

The structure in CIF format:
```
data_Rb2YPtF6
_chemical_formula_sum 'Rb4 Y2 Pt2 F12'
_space_group_name_H-M_alt 'I 4/m m m'
_space_group_IT_number 139
_space_group_name_Hall '-I 4 2'
_cell_length_a 6.9684
_cell_length_b 6.9684
_cell_length_c 8.5287
_cell_angle_alpha 90.00
_cell_angle_beta 90.00
_cell_angle_gamma 90.00
loop_
_atom_site_label
_atom_site_type_symbol
_atom_site_fract_x
_atom_site_fract_y
_atom_site_fract_z
Rb1 Rb 0.0000 0.5000 0.2500
Y1 Y 0.0000 0.0000 0.0000
Pt1 Pt 0.0000 0.0000 0.5000
F1 F 0.0000 0.0000 0.2582
F2 F 0.2195 0.2195 0.0000
```

Properties
* ρ: 4.6 g/cm³
* energy relative to the elements, uncorrected: -2.614 eV per atom

(3)
Computed, not measured: a relaxed V3Si2Ni crystal at the PBE level of DFT.

The structure in CIF format:
```
data_V3Si2Ni
_chemical_formula_sum 'V12 Si8 Ni4'
_space_group_name_H-M_alt 'I b a m'
_space_group_IT_number 72
_space_group_name_Hall '-I 2 2c'
_cell_length_a 4.9997
_cell_length_b 12.7734
_cell_length_c 4.9071
_cell_angle_alpha 90.00
_cell_angle_beta 90.00
_cell_angle_gamma 90.00
loop_
_atom_site_label
_atom_site_type_symbol
_atom_site_fract_x
_atom_site_fract_y
_atom_site_fract_z
V1 V 0.0000 0.0000 0.2500
V2 V 0.2157 0.1747 0.0000
Si1 Si 0.2204 0.3676 0.0000
Ni1 Ni 0.0000 0.5000 0.2500
```

Properties
* ρ: 5.7 g/cm³
* energy relative to the elements, uncorrected: -0.396 eV per atom

(4)
Computed, not measured: a relaxed RbZnH4 crystal at the PBE level of DFT.

The structure in CIF format:
```
data_RbZnH4
_chemical_formula_sum 'Rb4 Zn4 H16'
_space_group_name_H-M_alt 'C 1 2/m 1'
_space_group_IT_number 12
_cell_length_a 14.2224
_cell_length_b 5.2236
_cell_length_c 5.9209
_cell_angle_alpha 90.00
_cell_angle_beta 97.03
_cell_angle_gamma 90.00
loop_
_space_group_symop_operation_xyz
'x,y,z'
'-x,-y,-z'
'-x,y,-z'
'x,-y,z'
'x+1/2,y+1/2,z'
'-x+1/2,-y+1/2,-z'
'-x+1/2,y+1/2,-z'
'x+1/2,-y+1/2,z'
loop_
_atom_site_label
_atom_site_type_symbol
_atom_site_fract_x
_atom_site_fract_y
_atom_site_fract_z
Rb1 Rb 0.1325 0.0000 0.2745
Zn1 Zn 0.0646 0.5000 0.6793
H1 H 0.0000 0.2693 0.5000
H2 H 0.0184 0.3237 0.9400
H3 H 0.1721 0.5000 0.6049
```

Properties
* ρ: 2.4 g/cm³
* DFT total energy: -62.57 eV for the cell shown

(5)
Computed, not measured: a relaxed AlSeF crystal at the PBE level of DFT.

The structure in CIF format:
```
data_AlSeF
_chemical_formula_sum 'Al2 Se2 F2'
_space_group_name_H-M_alt 'P -1'
_space_group_IT_number 2
_cell_length_a 3.9275
_cell_length_b 5.7452
_cell_length_c 5.9806
_cell_angle_alpha 99.44
_cell_angle_beta 109.12
_cell_angle_gamma 90.34
loop_
_space_group_symop_operation_xyz
'x,y,z'
'-x,-y,-z'
loop_
_atom_site_label
_atom_site_type_symbol
_atom_site_fract_x
_atom_site_fract_y
_atom_site_fract_z
Al1 Al 0.1267 0.4624 0.2539
Se1 Se 0.3264 0.7518 0.6486
F1 F 0.0402 0.6984 0.0803
```

Properties
* ρ: 3.3 g/cm³
* energy relative to the elements, uncorrected: -1.956 eV per atom
* polymorph energy (0 for the lowest one): 0.0 meV/atom

(6)
Computed, not measured: a relaxed TcOsBr2 crystal at the PBE level of DFT.

The structure in CIF format:
```
data_TcOsBr2
_chemical_formula_sum 'Tc1 Os1 Br2'
_space_group_name_H-M_alt 'P 1 m 1'
_space_group_IT_number 6
_cell_length_a 3.1434
_cell_length_b 3.0304
_cell_length_c 9.1238
_cell_angle_alpha 90.00
_cell_angle_beta 90.18
_cell_angle_gamma 90.00
loop_
_space_group_symop_operation_xyz
'x,y,z'
'x,-y,z'
loop_
_atom_site_label
_atom_site_type_symbol
_atom_site_fract_x
_atom_site_fract_y
_atom_site_fract_z
Tc1 Tc 0.0000 0.0000 0.0000
Os1 Os 0.4984 0.5000 0.8409
Br1 Br 0.0037 0.5000 0.2248
Br2 Br 0.4947 0.0000 0.6133
```

Properties
* ρ: 8.6 g/cm³
* energy relative to the elements, uncorrected: 0.280 eV per atom
* polymorph energy (0 for the lowest one): 0.0 meV/atom

(7)
Computed, not measured: a relaxed Ac2INCl crystal at the PBE level of DFT.

The structure in CIF format:
```
data_Ac2INCl
_chemical_formula_sum 'Ac8 I4 N4 Cl4'
_space_group_name_H-M_alt 'C 1 2/m 1'
_space_group_IT_number 12
_cell_length_a 16.9379
_cell_length_b 4.2670
_cell_length_c 12.1007
_cell_angle_alpha 90.00
_cell_angle_beta 129.11
_cell_angle_gamma 90.00
loop_
_space_group_symop_operation_xyz
'x,y,z'
'-x,-y,-z'
'-x,y,-z'
'x,-y,z'
'x+1/2,y+1/2,z'
'-x+1/2,-y+1/2,-z'
'-x+1/2,y+1/2,-z'
'x+1/2,-y+1/2,z'
loop_
_atom_site_label
_atom_site_type_symbol
_atom_site_fract_x
_atom_site_fract_y
_atom_site_fract_z
Ac1 Ac 0.0758 0.0000 0.2882
Ac2 Ac 0.1319 0.5000 0.0614
I1 I 0.1775 0.5000 0.5896
N1 N 0.0434 0.5000 0.1616
Cl1 Cl 0.1432 0.0000 0.8557
```

Properties
* ρ: 6.2 g/cm³
* energy relative to the elements, uncorrected: -1.633 eV per atom

(8)
Computed, not measured: a relaxed ErTm6Tl4 crystal at the PBE level of DFT.

The structure in CIF format:
```
data_ErTm6Tl4
_chemical_formula_sum 'Er2 Tm12 Tl8'
_space_group_name_H-M_alt 'I -4 2 m'
_space_group_IT_number 121
_space_group_name_Hall 'I -4 2'
_cell_length_a 6.3065
_cell_length_b 6.3065
_cell_length_c 16.5157
_cell_angle_alpha 90.00
_cell_angle_beta 90.00
_cell_angle_gamma 90.00
loop_
_atom_site_label
_atom_site_type_symbol
_atom_site_fract_x
_atom_site_fract_y
_atom_site_fract_z
Er1 Er 0.0000 0.0000 0.0000
Tm1 Tm 0.0000 0.5000 0.0000
Tm2 Tm 0.2360 0.2360 0.6794
Tl1 Tl 0.2439 0.2439 0.8651
```

Properties
* ρ: 10.1 g/cm³
* calculated formation energy: -0.096 eV per atom